A geometry-optimized ZnFeTcOs structure, computed with PBE-GGA.

POSCAR file:
```
ZnFeTcOs
1.0
0.000 3.019 3.019
3.019 0.000 3.019
3.019 3.019 0.000
Zn Fe Tc Os
1 1 1 1
direct
0.000 0.000 0.000
0.250 0.250 0.250
0.750 0.750 0.750
0.500 0.500 0.500
```

Values from the calculation:
The calculation puts the magnetic moment at 3.0 μB/f.u. Its crystal system is cubic. The calculation puts the uncorrected energy at -7.572 eV per atom. Its space group is F-43m (216). The value obtained for the calculated formation energy is 218 meV/atom.